# 1
# KScRu PBE-GGA relaxed
# Uncorrected energy (eV/atom): -5.143
# Energy above the most stable polymorph in this dataset (meV/atom): 149
# N(E_F) (states/eV/atom): 0.54
# ΔH_f (0 K) (eV/atom): 0.43
# Calculated volume (Å³/cell): 76.2
data_KScRu
_chemical_formula_sum 'K1 Sc1 Ru1'
_cell_length_a 3.3019
_cell_length_b 3.3019
_cell_length_c 8.0688
_cell_angle_alpha 90.00
_cell_angle_beta 90.00
_cell_angle_gamma 120.00
_space_group_name_H-M_alt 'P 3 m 1'
_space_group_IT_number 156
_space_group_name_Hall 'P 3 -2"'
loop_
_atom_site_label
_atom_site_fract_x
_atom_site_fract_y
_atom_site_fract_z
K1 0.0000 0.0000 0.0000
Sc1 0.6667 0.3333 0.5413
Ru1 0.3333 0.6667 0.3306

# 2
# KScRu2 PBE-GGA relaxed
# Uncorrected energy (eV/atom): -6.029
# Energy above the most stable polymorph in this dataset (meV/atom): 140
# N(E_F) (states/eV/atom): 0.71
# ΔH_f (0 K) (eV/atom): 0.47
# Calculated volume (Å³/cell): 228.1
data_KScRu2
_chemical_formula_sum 'K3 Sc3 Ru6'
_cell_length_a 3.0174
_cell_length_b 3.0174
_cell_length_c 28.9249
_cell_angle_alpha 90.00
_cell_angle_beta 90.00
_cell_angle_gamma 120.00
_space_group_name_H-M_alt 'R -3 m'
_space_group_IT_number 166
_space_group_name_Hall '-R 3 2"'
loop_
_atom_site_label
_atom_site_fract_x
_atom_site_fract_y
_atom_site_fract_z
K1 0.0000 0.0000 0.0000
Sc1 0.0000 0.0000 0.5000
Ru1 0.0000 0.0000 0.2371

# 3
# KSc2Ru PBE-GGA relaxed
# Uncorrected energy (eV/atom): -5.899
# Energy above the most stable polymorph in this dataset (meV/atom): 0
# N(E_F) (states/eV/atom): 0.59
# ΔH_f (0 K) (eV/atom): -0.14
# Calculated volume (Å³/cell): 107.2
data_KSc2Ru
_chemical_formula_sum 'K1 Sc2 Ru1'
_cell_length_a 3.2665
_cell_length_b 3.2665
_cell_length_c 10.0483
_cell_angle_alpha 90.00
_cell_angle_beta 90.00
_cell_angle_gamma 90.00
_space_group_name_H-M_alt 'P 4/m m m'
_space_group_IT_number 123
_space_group_name_Hall '-P 4 2'
loop_
_atom_site_label
_atom_site_fract_x
_atom_site_fract_y
_atom_site_fract_z
K1 0.0000 0.0000 0.0000
Sc1 0.5000 0.5000 0.3489
Ru1 0.0000 0.0000 0.5000